Record 1
A relaxed KHgS3 crystal, computed with PBE.

abc: 6.068 6.068 6.068
angles: 90.00 90.00 90.00
Each line ends with the local moment (μB).
Positions (direct):
S 0.500 0.000 0.000  0.92
S 0.000 0.500 0.000  0.95
S 0.000 0.000 0.500  0.93
Hg 0.500 0.500 0.500  0.12
K 0.000 0.000 0.000  0.00

size of the total moment	5.0	μB per cell
distance to the lowest polymorph of the same formula	819	meV per atom
crystal system	cubic
ΔE_f (raw)	0.989	eV per atom
DOS at the Fermi energy	5.2	states/eV/cell

=====

Record 2
A relaxed TlAgSn crystal, computed with PBE.

abc: 8.043 3.339 11.194
angles: 90.00 90.00 90.00
Positions (direct):
Sn 0.068 0.750 0.882
Sn 0.932 0.250 0.118
Sn 0.568 0.750 0.618
Sn 0.432 0.250 0.382
Tl 0.850 0.250 0.419
Tl 0.150 0.750 0.581
Tl 0.650 0.750 0.919
Tl 0.350 0.250 0.081
Ag 0.646 0.750 0.213
Ag 0.146 0.750 0.287
Ag 0.354 0.250 0.787
Ag 0.854 0.250 0.713

size of the total moment	0.0	μB per cell
distance to the lowest polymorph of the same formula	51	meV per atom
crystal system	orthorhombic
E_form	83	meV/atom
DOS at the Fermi energy	6.3	states/eV/cell

=====

Record 3
A relaxed Li2TlNi2 crystal, computed with PBE.

abc: 3.624 3.624 6.448
angles: 73.68 73.68 90.00
Positions (direct):
Li 0.750 0.250 0.500
Li 0.250 0.750 0.500
Ni 0.402 0.402 0.195
Ni 0.598 0.598 0.805
Tl 0.000 0.000 0.000

size of the total moment	0.0	μB per cell
distance to the lowest polymorph of the same formula	216	meV per atom
crystal system	tetragonal
E_form	286	meV/atom
DOS at the Fermi energy	3.2	states/eV/cell

=====

Record 4
A relaxed TbTm6Sc12 crystal, computed with PBE.

abc: 8.935 8.935 8.935
angles: 110.69 110.69 110.69
Positions (direct):
Sc 0.785 0.500 0.215
Sc 0.605 0.823 0.605
Sc 0.215 0.785 0.500
Sc 0.395 0.395 0.177
Sc 0.177 0.395 0.395
Sc 0.215 0.500 0.785
Sc 0.395 0.177 0.395
Sc 0.500 0.215 0.785
Sc 0.823 0.605 0.605
Sc 0.605 0.605 0.823
Sc 0.500 0.785 0.215
Sc 0.785 0.215 0.500
Tm 0.068 0.068 0.701
Tm 0.932 0.299 0.932
Tm 0.068 0.701 0.068
Tm 0.701 0.068 0.068
Tm 0.932 0.932 0.299
Tm 0.299 0.932 0.932
Tb 0.000 0.000 0.000

size of the total moment	0.0	μB per cell
crystal system	trigonal
E_form	310	meV/atom
DOS at the Fermi energy	35.7	states/eV/cell

=====

Record 5
A relaxed K2LiAuF6 crystal, computed with PBE.

abc: 5.793 5.793 6.175
angles: 62.01 62.01 90.00
Positions (direct):
F 0.209 0.209 0.583
F 0.259 0.741 0.000
F 0.742 0.741 0.000
F 0.258 0.259 0.000
F 0.741 0.259 0.000
F 0.791 0.791 0.417
Li 0.000 0.000 0.000
K 0.250 0.750 0.500
K 0.750 0.250 0.500
Au 0.500 0.500 0.000

size of the total moment	0.0	μB per cell
crystal system	tetragonal
ΔE_f (raw)	-2.136	eV per atom

=====

Record 6
A relaxed Ho3Tl2Rh crystal, computed with PBE.

abc: 7.754 6.666 7.925
angles: 84.17 79.94 54.44
Positions (direct):
Tl 0.000 0.000 0.000
Tl 0.861 0.279 0.500
Tl 0.500 0.000 0.500
Tl 0.139 0.721 0.500
Rh 0.709 0.583 0.000
Rh 0.291 0.417 0.000
Ho 0.671 0.000 0.831
Ho 0.329 0.000 0.169
Ho 0.100 0.354 0.775
Ho 0.546 0.354 0.225
Ho 0.454 0.646 0.775
Ho 0.900 0.646 0.225

size of the total moment	0.0	μB per cell
distance to the lowest polymorph of the same formula	100	meV per atom
crystal system	monoclinic
E_form	-426	meV/atom
DOS at the Fermi energy	8.1	states/eV/cell

=====

Record 7
A relaxed BeAg3 crystal, computed with PBE.

abc: 5.650 5.650 4.561
angles: 90.00 90.00 120.00
Positions (direct):
Ag 0.829 0.658 0.250
Ag 0.829 0.171 0.250
Ag 0.171 0.829 0.750
Ag 0.658 0.829 0.750
Ag 0.342 0.171 0.250
Ag 0.171 0.342 0.750
Be 0.333 0.667 0.250
Be 0.667 0.333 0.750

size of the total moment	0.0	μB per cell
crystal system	hexagonal
E_form	206	meV/atom
DOS at the Fermi energy	1.7	states/eV/cell

=====

Record 8
A relaxed Na2TlIO4 crystal, computed with PBE.

abc: 6.770 6.770 6.770
angles: 67.44 133.77 133.77
Positions (direct):
O 0.946 0.157 0.585
O 0.572 0.415 0.361
O 0.054 0.639 0.211
O 0.428 0.789 0.843
Tl 0.500 0.250 0.750
Na 0.500 0.750 0.250
Na 0.000 0.000 0.000
I 0.000 0.500 0.500

size of the total moment	0.0	μB per cell
crystal system	tetragonal
ΔE_f (raw)	-0.800	eV per atom
DOS at the Fermi energy	0.0	states/eV/cell